A relaxed Mg6Sn3Ge crystal, computed with GGA-PBE.

a = 6.738 Å, b = 6.738 Å, c = 8.608 Å
α = 123.55°, β = 123.55°, γ = 55.89°
Fractional positions:
Mg: 0.157 0.666 0.703
Mg: 0.249 0.249 0.925
Mg: 0.334 0.843 0.297
Mg: 0.666 0.157 0.703
Mg: 0.751 0.751 0.075
Mg: 0.843 0.334 0.297
Sn: 0.000 0.000 0.500
Sn: 0.332 0.332 0.333
Sn: 0.668 0.668 0.667
Ge: 0.500 0.500 0.000

Properties
ΔE_f	-0.4	eV/f.u.